(1)
HoHIBr | PBE-GGA | relaxed

Structure (CIF):
```
data_HoHIBr
_chemical_formula_sum 'Ho2 H2 I2 Br2'
_space_group_name_H-M_alt 'P 1'
_space_group_IT_number 1
_space_group_name_Hall 'P 1'
_cell_length_a 3.8995
_cell_length_b 3.8995
_cell_length_c 15.4254
_cell_angle_alpha 90.00
_cell_angle_beta 90.00
_cell_angle_gamma 120.00
loop_
_atom_site_label
_atom_site_type_symbol
_atom_site_fract_x
_atom_site_fract_y
_atom_site_fract_z
H1 H 0.3333 0.6667 0.5000
H2 H 0.0000 0.0000 0.0000
Br1 Br 0.3333 0.6667 0.1222
Br2 Br 0.3333 0.6667 0.8778
I1 I 0.0000 0.0000 0.6381
I2 I 0.0000 0.0000 0.3619
Ho1 Ho 0.6667 0.3333 0.5000
Ho2 Ho 0.6667 0.3333 0.0000
```

DFT total energy (eV/atom): -4.1269
SG: No. 187
Total magnetic moment (μB/cell): 0.0

---

(2)
HoHIBr | PBE-GGA | relaxed

Structure (CIF):
```
data_HoHIBr
_chemical_formula_sum 'Ho2 H2 I2 Br2'
_space_group_name_H-M_alt 'P 1'
_space_group_IT_number 1
_space_group_name_Hall 'P 1'
_cell_length_a 3.8982
_cell_length_b 3.8982
_cell_length_c 15.5007
_cell_angle_alpha 90.00
_cell_angle_beta 90.00
_cell_angle_gamma 120.00
loop_
_atom_site_label
_atom_site_type_symbol
_atom_site_fract_x
_atom_site_fract_y
_atom_site_fract_z
I1 I 0.3333 0.6667 0.8820
I2 I 0.6667 0.3333 0.1180
H1 H 0.6667 0.3333 0.7475
H2 H 0.3333 0.6667 0.2525
Br1 Br 0.3333 0.6667 0.6234
Br2 Br 0.6667 0.3333 0.3766
Ho1 Ho 0.0000 0.0000 0.2557
Ho2 Ho 0.0000 0.0000 0.7443
```

DFT total energy (eV/atom): -4.1273
SG: No. 164
Total magnetic moment (μB/cell): 0.0

---

(3)
NdHoH2Br4 | PBE-GGA | relaxed

Structure (CIF):
```
data_NdHoH2Br4
_chemical_formula_sum 'Nd1 Ho1 H2 Br4'
_space_group_name_H-M_alt 'P 1'
_space_group_IT_number 1
_space_group_name_Hall 'P 1'
_cell_length_a 3.9063
_cell_length_b 3.9063
_cell_length_c 14.8536
_cell_angle_alpha 90.00
_cell_angle_beta 90.00
_cell_angle_gamma 120.00
loop_
_atom_site_label
_atom_site_type_symbol
_atom_site_fract_x
_atom_site_fract_y
_atom_site_fract_z
Br1 Br 0.6667 0.3333 0.3737
Br2 Br 0.3333 0.6667 0.8667
Br3 Br 0.6667 0.3333 0.6263
Br4 Br 0.3333 0.6667 0.1333
H1 H 0.6667 0.3333 0.0000
H2 H 0.3333 0.6667 0.5000
Nd1 Nd 0.0000 0.0000 0.0000
Ho1 Ho 0.0000 0.0000 0.5000
```

DFT total energy (eV/atom): -4.3597
SG: No. 187
Total magnetic moment (μB/cell): 0.0

---

(4)
HoH2BrO2 | PBE-GGA | relaxed

Structure (CIF):
```
data_HoH2BrO2
_chemical_formula_sum 'Ho2 H4 Br2 O4'
_space_group_name_H-M_alt 'P 1'
_space_group_IT_number 1
_space_group_name_Hall 'P 1'
_cell_length_a 6.1515
_cell_length_b 3.6402
_cell_length_c 6.7559
_cell_angle_alpha 90.00
_cell_angle_beta 107.03
_cell_angle_gamma 90.00
loop_
_atom_site_label
_atom_site_type_symbol
_atom_site_fract_x
_atom_site_fract_y
_atom_site_fract_z
Br1 Br 0.2270 0.7500 0.9362
Br2 Br 0.7730 0.2500 0.0638
H1 H 0.1230 0.7500 0.2741
H2 H 0.8770 0.2500 0.7259
H3 H 0.6494 0.7500 0.8006
H4 H 0.3506 0.2500 0.1994
O1 O 0.1048 0.7500 0.4137
O2 O 0.5500 0.7500 0.6578
O3 O 0.4500 0.2500 0.3422
O4 O 0.8952 0.2500 0.5863
Ho1 Ho 0.7129 0.7500 0.3921
Ho2 Ho 0.2871 0.2500 0.6079
```

DFT total energy (eV/atom): -5.8095
SG: No. 11
Total magnetic moment (μB/cell): 0.0

---

(5)
HoTmH2Br2 | PBE-GGA | relaxed

Structure (CIF):
```
data_HoTmH2Br2
_chemical_formula_sum 'Ho1 Tm1 H2 Br2'
_space_group_name_H-M_alt 'P 1'
_space_group_IT_number 1
_space_group_name_Hall 'P 1'
_cell_length_a 3.7645
_cell_length_b 3.7645
_cell_length_c 10.2143
_cell_angle_alpha 100.30
_cell_angle_beta 100.30
_cell_angle_gamma 60.00
loop_
_atom_site_label
_atom_site_type_symbol
_atom_site_fract_x
_atom_site_fract_y
_atom_site_fract_z
Br1 Br 0.6038 0.6038 0.8210
Br2 Br 0.3973 0.3973 0.1825
Tm1 Tm 0.1237 0.1237 0.3669
H1 H 0.8056 0.8056 0.4141
H2 H 0.1932 0.1932 0.5822
Ho1 Ho 0.8764 0.8764 0.6333
```

DFT total energy (eV/atom): -4.4183
SG: No. 8
Total magnetic moment (μB/cell): 0.0

---

(6)
NdHIBr | PBE-GGA | relaxed

Structure (CIF):
```
data_NdHIBr
_chemical_formula_sum 'Nd2 H2 I2 Br2'
_space_group_name_H-M_alt 'P 1'
_space_group_IT_number 1
_space_group_name_Hall 'P 1'
_cell_length_a 4.0725
_cell_length_b 4.0725
_cell_length_c 15.4524
_cell_angle_alpha 90.00
_cell_angle_beta 90.00
_cell_angle_gamma 120.00
loop_
_atom_site_label
_atom_site_type_symbol
_atom_site_fract_x
_atom_site_fract_y
_atom_site_fract_z
H1 H 0.6667 0.3333 0.7475
H2 H 0.3333 0.6667 0.2475
Br1 Br 0.6667 0.3333 0.1209
Br2 Br 0.3333 0.6667 0.6209
I1 I 0.6667 0.3333 0.3866
I2 I 0.3333 0.6667 0.8866
Nd1 Nd 0.0000 0.0000 0.7450
Nd2 Nd 0.0000 0.0000 0.2450
```

DFT total energy (eV/atom): -4.2161
SG: No. 186
Total magnetic moment (μB/cell): 0.0

---

(7)
NdHIBr | PBE-GGA | relaxed

Structure (CIF):
```
data_NdHIBr
_chemical_formula_sum 'Nd2 H2 I2 Br2'
_space_group_name_H-M_alt 'P 1'
_space_group_IT_number 1
_space_group_name_Hall 'P 1'
_cell_length_a 4.0703
_cell_length_b 4.0703
_cell_length_c 15.5195
_cell_angle_alpha 90.00
_cell_angle_beta 90.00
_cell_angle_gamma 120.00
loop_
_atom_site_label
_atom_site_type_symbol
_atom_site_fract_x
_atom_site_fract_y
_atom_site_fract_z
Nd1 Nd 0.3333 0.6667 0.0000
Nd2 Nd 0.3333 0.6667 0.5000
I1 I 0.6667 0.3333 0.3593
I2 I 0.6667 0.3333 0.6407
H1 H 0.6667 0.3333 0.0000
H2 H 0.0000 0.0000 0.5000
Br1 Br 0.0000 0.0000 0.8760
Br2 Br 0.0000 0.0000 0.1240
```

DFT total energy (eV/atom): -4.2149
SG: No. 187
Total magnetic moment (μB/cell): 0.0

---

(8)
NdHIBr | PBE-GGA | relaxed

Structure (CIF):
```
data_NdHIBr
_chemical_formula_sum 'Nd2 H2 I2 Br2'
_space_group_name_H-M_alt 'P 1'
_space_group_IT_number 1
_space_group_name_Hall 'P 1'
_cell_length_a 4.0732
_cell_length_b 4.0732
_cell_length_c 15.5280
_cell_angle_alpha 90.00
_cell_angle_beta 90.00
_cell_angle_gamma 120.00
loop_
_atom_site_label
_atom_site_type_symbol
_atom_site_fract_x
_atom_site_fract_y
_atom_site_fract_z
Nd1 Nd 0.0000 0.0000 0.7438
Nd2 Nd 0.0000 0.0000 0.2562
Br1 Br 0.3333 0.6667 0.3795
Br2 Br 0.6667 0.3333 0.6205
H1 H 0.3333 0.6667 0.7469
H2 H 0.6667 0.3333 0.2531
I1 I 0.3333 0.6667 0.1150
I2 I 0.6667 0.3333 0.8850
```

DFT total energy (eV/atom): -4.2152
SG: No. 164
Total magnetic moment (μB/cell): 0.0

---

(9)
Np2H2I3Br | PBE-GGA | relaxed

Structure (CIF):
```
data_Np2H2I3Br
_chemical_formula_sum 'Np2 H2 I3 Br1'
_space_group_name_H-M_alt 'P 1'
_space_group_IT_number 1
_space_group_name_Hall 'P 1'
_cell_length_a 3.9671
_cell_length_b 3.9671
_cell_length_c 15.6884
_cell_angle_alpha 90.00
_cell_angle_beta 90.00
_cell_angle_gamma 120.00
loop_
_atom_site_label
_atom_site_type_symbol
_atom_site_fract_x
_atom_site_fract_y
_atom_site_fract_z
I1 I 0.0000 0.0000 0.3815
I2 I 0.3333 0.6667 0.6141
I3 I 0.3333 0.6667 0.8906
Br1 Br 0.0000 0.0000 0.1207
Np1 Np 0.6667 0.3333 0.7523
Np2 Np 0.6667 0.3333 0.2430
H1 H 0.3333 0.6667 0.2457
H2 H 0.0000 0.0000 0.7521
```

DFT total energy (eV/atom): -5.6532
SG: No. 156
Total magnetic moment (μB/cell): 8.0